First-principles (GGA-PBE) data for a geometry-optimized ZrIn2Re structure, as listed in Alexandria.

a b c (Å): 7.806 7.806 5.761
angles (deg): 90.00 90.00 90.00
Space group I-42d (No. 122)
Asymmetric unit:
Zr: 0.000 0.000 0.000 x4
In: 0.225 0.250 0.625 x8
Re: 0.000 0.000 0.500 x4

Output
- energy above the most stable polymorph in this dataset (eV per atom) = 0.473
- formation enthalpy at 0 K (kcal/mol of atoms) = 13.142
- VASP energy (Ry/atom) = -0.4445
- theoretical density (g cm⁻³) = 9.6
- total magnetic moment (μB/f.u.) = 1.02

First-principles (GGA-PBE) data for a geometry-optimized Zr4In3Re structure, as listed in Alexandria.

a b c (Å): 3.276 3.276 15.998
angles (deg): 90.00 90.00 90.00
Space group P4/mmm (No. 123)
Asymmetric unit:
Zr: 0.000 0.000 0.100 x2
Zr: 0.000 0.000 0.367 x2
In: 0.500 0.500 0.238 x2
In: 0.500 0.500 0.500 x1
Re: 0.500 0.500 0.000 x1

Output
- formation enthalpy at 0 K (kcal/mol of atoms) = -6.586
- VASP energy (Ry/atom) = -0.5250
- theoretical density (g cm⁻³) = 8.7
- total magnetic moment (μB/f.u.) = 0.00

First-principles (GGA-PBE) data for a geometry-optimized ZrInRe2 structure, as listed in Alexandria.

a b c (Å): 7.534 7.534 5.540
angles (deg): 90.00 90.00 90.00
Space group I-42d (No. 122)
Asymmetric unit:
Zr: 0.000 0.000 0.000 x4
In: 0.000 0.000 0.500 x4
Re: 0.245 0.250 0.125 x8

Output
- formation enthalpy at 0 K (kcal/mol of atoms) = 23.400
- VASP energy (Ry/atom) = -0.5903
- theoretical density (g cm⁻³) = 12.2
- total magnetic moment (μB/f.u.) = 0.36

First-principles (GGA-PBE) data for a geometry-optimized ZrIn2Re structure, as listed in Alexandria.

a b c (Å): 3.0939 3.0939 29.1236
angles (deg): 90.00 90.00 120.00
Space group R-3m (No. 166, hexagonal axes)
Asymmetric unit:
Zr: 0.0000 0.0000 0.0000 x3
In: 0.0000 0.0000 0.2436 x6
Re: 0.0000 0.0000 0.5000 x3

Output
- energy above the most stable polymorph in this dataset (eV per atom) = 0.233
- formation enthalpy at 0 K (kcal/mol of atoms) = 7.627
- VASP energy (Ry/atom) = -0.4621
- theoretical density (g cm⁻³) = 10.5
- total magnetic moment (μB/f.u.) = 0.12

First-principles (GGA-PBE) data for a geometry-optimized ZrIn2Re structure, as listed in Alexandria.

a b c (Å): 3.442 4.851 9.588
angles (deg): 90.00 90.00 90.00
Space group Immm (No. 71)
Asymmetric unit:
Zr: 0.000 0.000 0.000 x2
In: 0.000 0.500 0.236 x4
Re: 0.000 0.000 0.500 x2

Output
- energy above the most stable polymorph in this dataset (eV per atom) = 0.075
- formation enthalpy at 0 K (kcal/mol of atoms) = 3.979
- VASP energy (Ry/atom) = -0.4738
- theoretical density (g cm⁻³) = 10.5
- total magnetic moment (μB/f.u.) = 0.00

First-principles (GGA-PBE) data for a geometry-optimized Zr2InRe structure, as listed in Alexandria.

a b c (Å): 3.505 5.045 9.292
angles (deg): 90.00 90.00 90.00
Space group Cmmm (No. 65)
Asymmetric unit:
Zr: 0.000 0.000 0.222 x4
In: 0.000 0.500 0.500 x2
Re: 0.000 0.500 0.000 x2

Output
- formation enthalpy at 0 K (kcal/mol of atoms) = -2.489
- VASP energy (Ry/atom) = -0.6011
- theoretical density (g cm⁻³) = 9.8
- total magnetic moment (μB/f.u.) = 0.00

First-principles (GGA-PBE) data for a geometry-optimized ZrInRe2 structure, as listed in Alexandria.

a b c (Å): 6.578 6.578 6.578
angles (deg): 90.00 90.00 90.00
Space group F-43m (No. 216)
Asymmetric unit:
Zr: 0.000 0.000 0.000 x4
In: 0.250 0.250 0.250 x4
Re: 0.000 0.000 0.500 x4
Re: 0.250 0.250 0.750 x4

Output
- formation enthalpy at 0 K (kcal/mol of atoms) = 7.720
- VASP energy (Ry/atom) = -0.6402
- theoretical density (g cm⁻³) = 13.5
- total magnetic moment (μB/f.u.) = 0.00

First-principles (GGA-PBE) data for a geometry-optimized ZrInRe2 structure, as listed in Alexandria.

a b c (Å): 3.467 3.467 5.974
angles (deg): 90.00 90.00 90.00
Space group P4/mmm (No. 123)
Asymmetric unit:
Zr: 0.000 0.000 0.000 x1
In: 0.000 0.000 0.500 x1
Re: 0.500 0.500 0.248 x2

Output
- formation enthalpy at 0 K (kcal/mol of atoms) = 6.823
- VASP energy (Ry/atom) = -0.6431
- theoretical density (g cm⁻³) = 13.4
- total magnetic moment (μB/f.u.) = 0.00

First-principles (GGA-PBE) data for a geometry-optimized ZrIn2Re structure, as listed in Alexandria.

a b c (Å): 4.326 4.326 8.434
angles (deg): 90.00 90.00 90.00
Space group I-4m2 (No. 119)
Asymmetric unit:
Zr: 0.000 0.000 0.000 x2
In: 0.000 0.000 0.500 x2
In: 0.000 0.500 0.750 x2
Re: 0.000 0.500 0.250 x2

Output
- energy above the most stable polymorph in this dataset (eV per atom) = 0.093
- formation enthalpy at 0 K (kcal/mol of atoms) = 4.379
- VASP energy (Ry/atom) = -0.4725
- theoretical density (g cm⁻³) = 10.7
- total magnetic moment (μB/f.u.) = 0.00

First-principles (GGA-PBE) data for a geometry-optimized Zr2InRe structure, as listed in Alexandria.

a b c (Å): 6.780 6.780 6.780
angles (deg): 90.00 90.00 90.00
Space group F-43m (No. 216)
Asymmetric unit:
Zr: 0.000 0.000 0.000 x4
Zr: 0.250 0.250 0.250 x4
In: 0.250 0.250 0.750 x4
Re: 0.000 0.000 0.500 x4

Output
- formation enthalpy at 0 K (kcal/mol of atoms) = 0.661
- VASP energy (Ry/atom) = -0.5911
- theoretical density (g cm⁻³) = 10.3
- total magnetic moment (μB/f.u.) = 0.00

First-principles (GGA-PBE) data for a geometry-optimized Zr2InRe structure, as listed in Alexandria.

a b c (Å): 3.371 3.371 7.122
angles (deg): 90.00 90.00 90.00
Space group P4/mmm (No. 123)
Asymmetric unit:
Zr: 0.000 0.000 0.221 x2
In: 0.500 0.500 0.500 x1
Re: 0.500 0.500 0.000 x1

Output
- formation enthalpy at 0 K (kcal/mol of atoms) = -7.006
- VASP energy (Ry/atom) = -0.6155
- theoretical density (g cm⁻³) = 9.9
- total magnetic moment (μB/f.u.) = 0.00

First-principles (GGA-PBE) data for a geometry-optimized Zr2InRe structure, as listed in Alexandria.

a b c (Å): 8.753 3.230 6.117
angles (deg): 90.00 98.87 90.00
Space group C2/m (No. 12)
Asymmetric unit:
Zr: 0.245 0.000 0.221 x4
In: 0.000 0.000 0.500 x2
Re: 0.000 0.500 0.000 x2

Output
- formation enthalpy at 0 K (kcal/mol of atoms) = 3.067
- VASP energy (Ry/atom) = -0.5834
- theoretical density (g cm⁻³) = 9.4
- total magnetic moment (μB/f.u.) = 0.00

First-principles (GGA-PBE) data for a geometry-optimized Zr2InRe2 structure, as listed in Alexandria.

a b c (Å): 7.709 7.709 3.379
angles (deg): 90.00 90.00 90.00
Space group P4/mbm (No. 127)
Asymmetric unit:
Zr: 0.189 0.311 0.000 x4
In: 0.000 0.000 0.500 x2
Re: 0.108 0.608 0.500 x4

Output
- formation enthalpy at 0 K (kcal/mol of atoms) = 1.358
- VASP energy (Ry/atom) = -0.6532
- theoretical density (g cm⁻³) = 11.1
- total magnetic moment (μB/f.u.) = 0.00

First-principles (GGA-PBE) data for a geometry-optimized ZrIn2Re structure, as listed in Alexandria.

a b c (Å): 3.273 5.074 9.733
angles (deg): 90.00 90.00 90.00
Space group Cmmm (No. 65)
Asymmetric unit:
Zr: 0.000 0.000 0.000 x2
In: 0.000 0.500 0.266 x4
Re: 0.000 0.000 0.500 x2

Output
- energy above the most stable polymorph in this dataset (eV per atom) = 0.266
- formation enthalpy at 0 K (kcal/mol of atoms) = 8.384
- VASP energy (Ry/atom) = -0.4597
- theoretical density (g cm⁻³) = 10.4
- total magnetic moment (μB/f.u.) = 0.15

First-principles (GGA-PBE) data for a geometry-optimized ZrIn2Re structure, as listed in Alexandria.

a b c (Å): 5.843 9.258 2.928
angles (deg): 90.00 90.00 90.00
Space group Cmmm (No. 65)
Asymmetric unit:
Zr: 0.000 0.000 0.000 x2
In: 0.250 0.250 0.500 x4
Re: 0.000 0.500 0.000 x2

Output
- energy above the most stable polymorph in this dataset (eV per atom) = 0.211
- formation enthalpy at 0 K (kcal/mol of atoms) = 7.116
- VASP energy (Ry/atom) = -0.4638
- theoretical density (g cm⁻³) = 10.6
- total magnetic moment (μB/f.u.) = 0.00

First-principles (GGA-PBE) data for a geometry-optimized ZrIn2Re structure, as listed in Alexandria.

a b c (Å): 3.626 4.749 9.375
angles (deg): 90.00 90.00 90.00
Space group Imm2 (No. 44)
Asymmetric unit:
Zr: 0.000 0.000 0.000 x2
In: 0.000 0.000 0.537 x2
In: 0.000 0.500 0.770 x2
Re: 0.000 0.500 0.284 x2

Output
- energy above the most stable polymorph in this dataset (eV per atom) = 0.063
- formation enthalpy at 0 K (kcal/mol of atoms) = 3.698
- VASP energy (Ry/atom) = -0.4746
- theoretical density (g cm⁻³) = 10.4
- total magnetic moment (μB/f.u.) = 0.00

First-principles (GGA-PBE) data for a geometry-optimized ZrIn2Re structure, as listed in Alexandria.

a b c (Å): 9.921 3.466 4.862
angles (deg): 90.00 106.53 90.00
Space group C2/m (No. 12)
Asymmetric unit:
Zr: 0.000 0.000 0.000 x2
In: 0.237 0.000 0.730 x4
Re: 0.000 0.500 0.500 x2

Output
- energy above the most stable polymorph in this dataset (eV per atom) = 0.069
- formation enthalpy at 0 K (kcal/mol of atoms) = 3.833
- VASP energy (Ry/atom) = -0.4742
- theoretical density (g cm⁻³) = 10.5
- total magnetic moment (μB/f.u.) = 0.00

First-principles (GGA-PBE) data for a geometry-optimized ZrInRe2 structure, as listed in Alexandria.

a b c (Å): 10.035 3.375 4.650
angles (deg): 90.00 114.02 90.00
Space group C2/m (No. 12)
Asymmetric unit:
Zr: 0.000 0.000 0.000 x2
In: 0.000 0.500 0.500 x2
Re: 0.242 0.500 0.266 x4

Output
- formation enthalpy at 0 K (kcal/mol of atoms) = 5.810
- VASP energy (Ry/atom) = -0.6463
- theoretical density (g cm⁻³) = 13.4
- total magnetic moment (μB/f.u.) = 0.00

First-principles (GGA-PBE) data for a geometry-optimized ZrIn2Re structure, as listed in Alexandria.

a b c (Å): 4.236 4.236 8.777
angles (deg): 90.00 90.00 90.00
Space group I4/mmm (No. 139)
Asymmetric unit:
Zr: 0.000 0.000 0.000 x2
In: 0.000 0.500 0.250 x4
Re: 0.000 0.000 0.500 x2

Output
- energy above the most stable polymorph in this dataset (eV per atom) = 0.112
- formation enthalpy at 0 K (kcal/mol of atoms) = 4.819
- VASP energy (Ry/atom) = -0.4711
- theoretical density (g cm⁻³) = 10.7
- total magnetic moment (μB/f.u.) = 0.00

First-principles (GGA-PBE) data for a geometry-optimized Zr2InRe structure, as listed in Alexandria.

a b c (Å): 3.369 5.018 9.674
angles (deg): 90.00 90.00 90.00
Space group Cmm2 (No. 35)
Asymmetric unit:
Zr: 0.000 0.000 0.000 x2
Zr: 0.000 0.500 0.280 x2
In: 0.000 0.000 0.547 x2
Re: 0.000 0.500 0.783 x2

Output
- formation enthalpy at 0 K (kcal/mol of atoms) = 3.696
- VASP energy (Ry/atom) = -0.5814
- theoretical density (g cm⁻³) = 9.8
- total magnetic moment (μB/f.u.) = 0.00

First-principles (GGA-PBE) data for a geometry-optimized Zr3InRe2 structure, as listed in Alexandria.

a b c (Å): 3.377 3.377 10.276
angles (deg): 90.00 90.00 90.00
Space group P4/mmm (No. 123)
Asymmetric unit:
Zr: 0.000 0.000 0.000 x1
Zr: 0.000 0.000 0.310 x2
In: 0.500 0.500 0.500 x1
Re: 0.500 0.500 0.163 x2

Output
- formation enthalpy at 0 K (kcal/mol of atoms) = -6.402
- VASP energy (Ry/atom) = -0.6731
- theoretical density (g cm⁻³) = 10.8
- total magnetic moment (μB/f.u.) = 0.00

First-principles (GGA-PBE) data for a geometry-optimized ZrIn2Re structure, as listed in Alexandria.

a b c (Å): 10.247 2.949 5.338
angles (deg): 90.00 97.90 90.00
Space group Cm (No. 8)
Asymmetric unit:
Zr: 0.000 0.000 0.000 x2
In: 0.245 0.000 0.734 x2
In: 0.486 0.000 0.485 x2
Re: 0.245 0.500 0.228 x2

Output
- energy above the most stable polymorph in this dataset (eV per atom) = 0.199
- formation enthalpy at 0 K (kcal/mol of atoms) = 6.834
- VASP energy (Ry/atom) = -0.4647
- theoretical density (g cm⁻³) = 10.5
- total magnetic moment (μB/f.u.) = 0.00

First-principles (GGA-PBE) data for a geometry-optimized ZrIn2Re structure, as listed in Alexandria.

a b c (Å): 3.011 4.696 5.714
angles (deg): 90.00 99.41 90.00
Space group Pm (No. 6)
Asymmetric unit:
Zr: 0.000 0.000 0.000 x1
In: 0.503 0.000 0.526 x1
In: 0.605 0.500 0.241 x1
Re: 0.176 0.500 0.751 x1

Output
- energy above the most stable polymorph in this dataset (eV per atom) = 0.121
- formation enthalpy at 0 K (kcal/mol of atoms) = 5.039
- VASP energy (Ry/atom) = -0.4704
- theoretical density (g cm⁻³) = 10.6
- total magnetic moment (μB/f.u.) = 0.00

First-principles (GGA-PBE) data for a geometry-optimized ZrIn2Re structure, as listed in Alexandria.

a b c (Å): 2.984 4.781 5.712
angles (deg): 90.00 101.51 90.00
Space group P2/m (No. 10)
Asymmetric unit:
Zr: 0.000 0.000 0.000 x1
In: 0.354 0.500 0.741 x2
Re: 0.500 0.000 0.500 x1

Output
- energy above the most stable polymorph in this dataset (eV per atom) = 0.098
- formation enthalpy at 0 K (kcal/mol of atoms) = 4.508
- VASP energy (Ry/atom) = -0.4721
- theoretical density (g cm⁻³) = 10.5
- total magnetic moment (μB/f.u.) = 0.00

First-principles (GGA-PBE) data for a geometry-optimized Zr2InRe structure, as listed in Alexandria.

a b c (Å): 4.733 4.733 3.548
angles (deg): 90.00 90.00 90.00
Space group P4/mmm (No. 123)
Asymmetric unit:
Zr: 0.000 0.500 0.000 x2
In: 0.000 0.000 0.500 x1
Re: 0.500 0.500 0.500 x1

Output
- formation enthalpy at 0 K (kcal/mol of atoms) = -4.490
- VASP energy (Ry/atom) = -0.6075
- theoretical density (g cm⁻³) = 10.1
- total magnetic moment (μB/f.u.) = 0.00

First-principles (GGA-PBE) data for a geometry-optimized ZrInRe2 structure, as listed in Alexandria.

a b c (Å): 3.037 3.037 8.090
angles (deg): 90.00 90.00 90.00
Space group P4mm (No. 99)
Asymmetric unit:
Zr: 0.000 0.000 0.000 x1
In: 0.500 0.500 0.305 x1
Re: 0.000 0.000 0.566 x1
Re: 0.500 0.500 0.746 x1

Output
- formation enthalpy at 0 K (kcal/mol of atoms) = -0.772
- VASP energy (Ry/atom) = -0.6673
- theoretical density (g cm⁻³) = 12.9
- total magnetic moment (μB/f.u.) = 0.00

First-principles (GGA-PBE) data for a geometry-optimized ZrIn2Re structure, as listed in Alexandria.

a b c (Å): 3.441 5.138 9.634
angles (deg): 90.00 90.00 90.00
Space group Cmm2 (No. 35)
Asymmetric unit:
Zr: 0.000 0.000 0.000 x2
In: 0.000 0.000 0.445 x2
In: 0.000 0.500 0.730 x2
Re: 0.000 0.500 0.209 x2

Output
- energy above the most stable polymorph in this dataset (eV per atom) = 0.134
- formation enthalpy at 0 K (kcal/mol of atoms) = 5.343
- VASP energy (Ry/atom) = -0.4694
- theoretical density (g cm⁻³) = 9.9
- total magnetic moment (μB/f.u.) = 0.00

First-principles (GGA-PBE) data for a geometry-optimized ZrIn4Re structure, as listed in Alexandria.

a b c (Å): 8.037 8.037 8.037
angles (deg): 90.00 90.00 90.00
Space group F-43m (No. 216)
Asymmetric unit:
Zr: 0.000 0.000 0.000 x4
In: 0.125 0.125 0.625 x16
Re: 0.250 0.250 0.250 x4

Output
- formation enthalpy at 0 K (kcal/mol of atoms) = 16.188
- VASP energy (Ry/atom) = -0.3398
- theoretical density (g cm⁻³) = 9.4
- total magnetic moment (μB/f.u.) = 1.79

First-principles (GGA-PBE) data for a geometry-optimized ZrIn2Re structure, as listed in Alexandria.

a b c (Å): 6.809 6.809 6.809
angles (deg): 90.00 90.00 90.00
Space group F-43m (No. 216)
Asymmetric unit:
Zr: 0.000 0.000 0.000 x4
In: 0.000 0.000 0.500 x4
In: 0.250 0.250 0.750 x4
Re: 0.250 0.250 0.250 x4

Output
- energy above the most stable polymorph in this dataset (eV per atom) = 0.183
- formation enthalpy at 0 K (kcal/mol of atoms) = 6.473
- VASP energy (Ry/atom) = -0.4658
- theoretical density (g cm⁻³) = 10.7
- total magnetic moment (μB/f.u.) = 0.00